Compound: NdSm2Pd3
Source: Alexandria
Functional: PBE
Structure: optimized geometry Values from VASP.

```
&SYSTEM
  ibrav = 0, nat = 12, ntyp = 3
/
ATOMIC_SPECIES
Nd 144.24 Nd.upf
Sm 150.36 Sm.upf
Pd 106.42 Pd.upf
ATOMIC_POSITIONS angstrom
Nd -0.7181 -2.9506 -0.7085
Nd 2.4748 -2.9878 -3.7769
Sm 4.8347 -4.1444 -1.3132
Sm 1.6439 -4.1066 1.7574
Sm 0.1128 -1.8318 -6.2429
Sm -3.0780 -1.7939 -3.1722
Pd 4.7826 -0.0575 -4.6080
Pd 1.5953 -0.0192 -1.5371
Pd 2.6556 -0.6659 -6.8114
Pd -0.1819 -2.3224 3.0316
Pd 3.0070 -2.3608 -0.0410
Pd -0.5350 -0.6276 -3.7372
CELL_PARAMETERS angstrom
-4.2574 -1.2168 -4.4035
6.3779 -0.0767 -6.1451
-0.3638 -4.6449 6.0632
```

Results
Its crystal system is orthorhombic. The calculation puts the mass density at 8.51 g/cm³. Its density of states at the Fermi level is 6.5 states/eV per cell. Its total energy is -5.448 eV/atom.